No. 1
Crystalline La3SnRu at its relaxed geometry, computed with PBE-GGA.

Values from the calculation:
E_form = -0.511 eV/atom
E above lowest polymorph = 0.005 eV per atom

```
data_La3SnRu
_space_group_name_H-M_alt 'P 1 21/c 1'
_space_group_IT_number 14
_space_group_name_Hall '-P 2ybc'
_cell_length_a 8.127
_cell_length_b 7.229
_cell_length_c 11.792
_cell_angle_alpha 90.00
_cell_angle_beta 119.15
_cell_angle_gamma 90.00
loop_
_atom_site_label
_atom_site_type_symbol
_atom_site_fract_x
_atom_site_fract_y
_atom_site_fract_z
La1 La 0.125 0.219 0.254
La2 La 0.269 0.513 0.063
La3 La 0.308 0.517 0.560
Sn1 Sn 0.317 0.726 0.822
Ru1 Ru 0.008 0.211 0.936
```

No. 2
Crystalline La2Sn2Ru at its relaxed geometry, computed with PBE-GGA.

Values from the calculation:
E_form = -0.078 eV/atom

```
data_La2Sn2Ru
_space_group_name_H-M_alt 'P 4/m b m'
_space_group_IT_number 127
_space_group_name_Hall '-P 4 2ab'
_cell_length_a 7.371
_cell_length_b 7.371
_cell_length_c 5.392
_cell_angle_alpha 90.00
_cell_angle_beta 90.00
_cell_angle_gamma 90.00
loop_
_atom_site_label
_atom_site_type_symbol
_atom_site_fract_x
_atom_site_fract_y
_atom_site_fract_z
La1 La 0.171 0.329 0.000
Sn1 Sn 0.148 0.648 0.500
Ru1 Ru 0.000 0.000 0.000
```

No. 3
Crystalline La3SnRu at its relaxed geometry, computed with PBE-GGA.

Values from the calculation:
E_form = -0.374 eV/atom
E above lowest polymorph = 0.142 eV per atom

```
data_La3SnRu
_space_group_name_H-M_alt 'C 1 2/m 1'
_space_group_IT_number 12
_space_group_name_Hall '-C 2y'
_cell_length_a 13.014
_cell_length_b 3.918
_cell_length_c 13.153
_cell_angle_alpha 90.00
_cell_angle_beta 118.52
_cell_angle_gamma 90.00
loop_
_atom_site_label
_atom_site_type_symbol
_atom_site_fract_x
_atom_site_fract_y
_atom_site_fract_z
La1 La 0.073 0.000 0.230
La2 La 0.128 0.500 0.493
La3 La 0.150 0.500 0.022
Sn1 Sn 0.155 0.500 0.763
Ru1 Ru 0.250 0.000 0.666
```

No. 4
Crystalline La2Sn4Ru at its relaxed geometry, computed with PBE-GGA.

Values from the calculation:
E_form = -0.591 eV/atom
E above lowest polymorph = 0.000 eV per atom

```
data_La2Sn4Ru
_space_group_name_H-M_alt 'A m m 2'
_space_group_IT_number 38
_space_group_name_Hall 'A 2 -2'
_cell_length_a 4.662
_cell_length_b 4.717
_cell_length_c 17.237
_cell_angle_alpha 90.00
_cell_angle_beta 90.00
_cell_angle_gamma 90.00
loop_
_atom_site_label
_atom_site_type_symbol
_atom_site_fract_x
_atom_site_fract_y
_atom_site_fract_z
La1 La 0.000 0.000 0.000
La2 La 0.500 0.000 0.206
Sn1 Sn 0.000 0.000 0.365
Sn2 Sn 0.000 0.000 0.646
Sn3 Sn 0.500 0.000 0.529
Sn4 Sn 0.500 0.000 0.865
Ru1 Ru 0.000 0.000 0.796
```

No. 5
Crystalline La3SnRu at its relaxed geometry, computed with PBE-GGA.

Values from the calculation:
E_form = -0.504 eV/atom
E above lowest polymorph = 0.011 eV per atom

```
data_La3SnRu
_space_group_name_H-M_alt 'P n m a'
_space_group_IT_number 62
_space_group_name_Hall '-P 2ac 2n'
_cell_length_a 7.745
_cell_length_b 10.917
_cell_length_c 7.615
_cell_angle_alpha 90.00
_cell_angle_beta 90.00
_cell_angle_gamma 90.00
loop_
_atom_site_label
_atom_site_type_symbol
_atom_site_fract_x
_atom_site_fract_y
_atom_site_fract_z
La1 La 0.011 0.250 0.073
La2 La 0.199 0.037 0.700
Sn1 Sn 0.054 0.750 0.487
Ru1 Ru 0.000 0.000 0.000
```

No. 6
Crystalline La3SnRu at its relaxed geometry, computed with PBE-GGA.

Values from the calculation:
E_form = 0.150 eV/atom
E above lowest polymorph = 0.665 eV per atom

```
data_La3SnRu
_space_group_name_H-M_alt 'A m m 2'
_space_group_IT_number 38
_space_group_name_Hall 'A 2 -2'
_cell_length_a 3.948
_cell_length_b 7.625
_cell_length_c 16.522
_cell_angle_alpha 90.00
_cell_angle_beta 90.00
_cell_angle_gamma 90.00
loop_
_atom_site_label
_atom_site_type_symbol
_atom_site_fract_x
_atom_site_fract_y
_atom_site_fract_z
La1 La 0.000 0.000 0.000
La2 La 0.500 0.249 0.810
Sn1 Sn 0.500 0.000 0.151
Ru1 Ru 0.000 0.000 0.849
```

No. 7
Crystalline SrLa2SnRu at its relaxed geometry, computed with PBE-GGA.

Values from the calculation:
E_form = -0.319 eV/atom
E above lowest polymorph = 0.000 eV per atom

```
data_SrLa2SnRu
_space_group_name_H-M_alt 'P 4/m m m'
_space_group_IT_number 123
_space_group_name_Hall '-P 4 2'
_cell_length_a 5.489
_cell_length_b 5.489
_cell_length_c 5.455
_cell_angle_alpha 90.00
_cell_angle_beta 90.00
_cell_angle_gamma 90.00
loop_
_atom_site_label
_atom_site_type_symbol
_atom_site_fract_x
_atom_site_fract_y
_atom_site_fract_z
Sr1 Sr 0.000 0.000 0.000
La1 La 0.000 0.500 0.500
Sn1 Sn 0.500 0.500 0.000
Ru1 Ru 0.500 0.500 0.500
```

No. 8
Crystalline SrLa2SnRu at its relaxed geometry, computed with PBE-GGA.

Values from the calculation:
E_form = -0.313 eV/atom
E above lowest polymorph = 0.006 eV per atom

```
data_SrLa2SnRu
_space_group_name_H-M_alt 'P 4/m m m'
_space_group_IT_number 123
_space_group_name_Hall '-P 4 2'
_cell_length_a 5.359
_cell_length_b 5.359
_cell_length_c 5.747
_cell_angle_alpha 90.00
_cell_angle_beta 90.00
_cell_angle_gamma 90.00
loop_
_atom_site_label
_atom_site_type_symbol
_atom_site_fract_x
_atom_site_fract_y
_atom_site_fract_z
Sr1 Sr 0.000 0.000 0.000
La1 La 0.000 0.500 0.500
Sn1 Sn 0.500 0.500 0.000
Ru1 Ru 0.000 0.000 0.500
```

No. 9
Crystalline LaSnTe2Ru at its relaxed geometry, computed with PBE-GGA.

Values from the calculation:
raw formation energy = -243 meV per atom

```
data_LaSnTe2Ru
_space_group_name_H-M_alt 'P 4/m m m'
_space_group_IT_number 123
_space_group_name_Hall '-P 4 2'
_cell_length_a 5.324
_cell_length_b 5.324
_cell_length_c 5.125
_cell_angle_alpha 90.00
_cell_angle_beta 90.00
_cell_angle_gamma 90.00
loop_
_atom_site_label
_atom_site_type_symbol
_atom_site_fract_x
_atom_site_fract_y
_atom_site_fract_z
La1 La 0.000 0.000 0.000
Sn1 Sn 0.500 0.500 0.000
Te1 Te 0.000 0.500 0.500
Ru1 Ru 0.000 0.000 0.500
```

No. 10
Crystalline La2TlSnRu at its relaxed geometry, computed with PBE-GGA.

Values from the calculation:
E_form = -0.353 eV/atom
E above lowest polymorph = 0.062 eV per atom

```
data_La2TlSnRu
_space_group_name_H-M_alt 'P 4/m m m'
_space_group_IT_number 123
_space_group_name_Hall '-P 4 2'
_cell_length_a 5.365
_cell_length_b 5.365
_cell_length_c 5.289
_cell_angle_alpha 90.00
_cell_angle_beta 90.00
_cell_angle_gamma 90.00
loop_
_atom_site_label
_atom_site_type_symbol
_atom_site_fract_x
_atom_site_fract_y
_atom_site_fract_z
La1 La 0.000 0.500 0.000
Tl1 Tl 0.000 0.000 0.500
Sn1 Sn 0.500 0.500 0.500
Ru1 Ru 0.000 0.000 0.000
```

No. 11
Crystalline LaTlSn2Ru at its relaxed geometry, computed with PBE-GGA.

Values from the calculation:
E_form = -0.275 eV/atom

```
data_LaTlSn2Ru
_space_group_name_H-M_alt 'P 4/m m m'
_space_group_IT_number 123
_space_group_name_Hall '-P 4 2'
_cell_length_a 5.209
_cell_length_b 5.209
_cell_length_c 5.310
_cell_angle_alpha 90.00
_cell_angle_beta 90.00
_cell_angle_gamma 90.00
loop_
_atom_site_label
_atom_site_type_symbol
_atom_site_fract_x
_atom_site_fract_y
_atom_site_fract_z
La1 La 0.000 0.000 0.000
Tl1 Tl 0.500 0.500 0.000
Sn1 Sn 0.000 0.500 0.500
Ru1 Ru 0.000 0.000 0.500
```

No. 12
Crystalline La2TlSnRu at its relaxed geometry, computed with PBE-GGA.

Values from the calculation:
E_form = -0.415 eV/atom
E above lowest polymorph = 0.000 eV per atom

```
data_La2TlSnRu
_space_group_name_H-M_alt 'P 4/m m m'
_space_group_IT_number 123
_space_group_name_Hall '-P 4 2'
_cell_length_a 5.438
_cell_length_b 5.438
_cell_length_c 5.188
_cell_angle_alpha 90.00
_cell_angle_beta 90.00
_cell_angle_gamma 90.00
loop_
_atom_site_label
_atom_site_type_symbol
_atom_site_fract_x
_atom_site_fract_y
_atom_site_fract_z
La1 La 0.000 0.500 0.000
Tl1 Tl 0.000 0.000 0.500
Sn1 Sn 0.500 0.500 0.500
Ru1 Ru 0.500 0.500 0.000
```

No. 13
Crystalline La2ZnSnRu at its relaxed geometry, computed with PBE-GGA.

Values from the calculation:
E_form = -0.335 eV/atom

```
data_La2ZnSnRu
_space_group_name_H-M_alt 'P 4/m m m'
_space_group_IT_number 123
_space_group_name_Hall '-P 4 2'
_cell_length_a 5.339
_cell_length_b 5.339
_cell_length_c 4.920
_cell_angle_alpha 90.00
_cell_angle_beta 90.00
_cell_angle_gamma 90.00
loop_
_atom_site_label
_atom_site_type_symbol
_atom_site_fract_x
_atom_site_fract_y
_atom_site_fract_z
La1 La 0.000 0.500 0.000
Zn1 Zn 0.000 0.000 0.500
Sn1 Sn 0.500 0.500 0.500
Ru1 Ru 0.000 0.000 0.000
```